## w
The following is a DFT calculation (PBE) of a relaxed BaTcP2 crystal.

Properties
Magnetization in μB/atom: 0.00
Density in g cm⁻³: 6.30

CIF file:
```
data_BaTcP2
_symmetry_space_group_name_H-M 'F m -3 m'
_symmetry_Int_Tables_number 225
_symmetry_space_group_name_Hall '-F 4 2 3'
_cell_length_a 6.7919
_cell_length_b 6.7919
_cell_length_c 6.7919
_cell_angle_alpha 90.00
_cell_angle_beta 90.00
_cell_angle_gamma 90.00
loop_
_atom_site_label
_atom_site_type_symbol
_atom_site_fract_x
_atom_site_fract_y
_atom_site_fract_z
Ba1 Ba 0.0000 0.0000 0.0000
Tc1 Tc 0.0000 0.0000 0.5000
P1 P 0.2500 0.2500 0.2500
```

## x
The following is a DFT calculation (PBE) of a relaxed BaTcP2 crystal.

Properties
Magnetization in μB/atom: 0.43
Density in g cm⁻³: 6.08

CIF file:
```
data_BaTcP2
_symmetry_space_group_name_H-M 'F -4 3 m'
_symmetry_Int_Tables_number 216
_symmetry_space_group_name_Hall 'F -4 2 3'
_cell_length_a 6.8747
_cell_length_b 6.8747
_cell_length_c 6.8747
_cell_angle_alpha 90.00
_cell_angle_beta 90.00
_cell_angle_gamma 90.00
loop_
_atom_site_label
_atom_site_type_symbol
_atom_site_fract_x
_atom_site_fract_y
_atom_site_fract_z
Ba1 Ba 0.0000 0.0000 0.0000
Tc1 Tc 0.2500 0.2500 0.2500
P1 P 0.0000 0.0000 0.5000
P2 P 0.2500 0.2500 0.7500
```

Which is the most stable structure? w is the most stable.

## w
The following is a DFT calculation (PBE) of a relaxed Ba3TeP crystal.

Properties
Magnetization in μB/atom: 0.12
Density in g cm⁻³: 4.21

CIF file:
```
data_Ba3TeP
_symmetry_space_group_name_H-M 'P 1 21/m 1'
_symmetry_Int_Tables_number 11
_symmetry_space_group_name_Hall '-P 2yb'
_cell_length_a 9.9323
_cell_length_b 4.6693
_cell_length_c 9.9994
_cell_angle_alpha 90.00
_cell_angle_beta 104.17
_cell_angle_gamma 90.00
loop_
_atom_site_label
_atom_site_type_symbol
_atom_site_fract_x
_atom_site_fract_y
_atom_site_fract_z
Ba1 Ba 0.0594 0.2500 0.3406
Ba2 Ba 0.2569 0.2500 0.9937
Ba3 Ba 0.3846 0.7500 0.6468
Te1 Te 0.3238 0.7500 0.2775
P1 P 0.1715 0.2500 0.6737
```

## x
The following is a DFT calculation (PBE) of a relaxed Ba3TeP crystal.

Properties
Magnetization in μB/atom: 0.00
Density in g cm⁻³: 4.10

CIF file:
```
data_Ba3TeP
_symmetry_space_group_name_H-M 'P m -3 m'
_symmetry_Int_Tables_number 221
_symmetry_space_group_name_Hall '-P 4 2 3'
_cell_length_a 6.1365
_cell_length_b 6.1365
_cell_length_c 6.1365
_cell_angle_alpha 90.00
_cell_angle_beta 90.00
_cell_angle_gamma 90.00
loop_
_atom_site_label
_atom_site_type_symbol
_atom_site_fract_x
_atom_site_fract_y
_atom_site_fract_z
Ba1 Ba 0.0000 0.0000 0.5000
Te1 Te 0.5000 0.5000 0.5000
P1 P 0.0000 0.0000 0.0000
```

Which is the most stable structure? w is the most stable.

## w
The following is a DFT calculation (PBE) of a relaxed Ba2TeP crystal.

Properties
Magnetization in μB/atom: 0.23
Density in g cm⁻³: 4.47

CIF file:
```
data_Ba2TeP
_symmetry_space_group_name_H-M 'R -3 m'
_symmetry_Int_Tables_number 166
_symmetry_space_group_name_Hall '-R 3 2"'
_cell_length_a 4.7911
_cell_length_b 4.7911
_cell_length_c 24.2898
_cell_angle_alpha 90.00
_cell_angle_beta 90.00
_cell_angle_gamma 120.00
loop_
_atom_site_label
_atom_site_type_symbol
_atom_site_fract_x
_atom_site_fract_y
_atom_site_fract_z
Ba1 Ba 0.0000 0.0000 0.2444
Te1 Te 0.0000 0.0000 0.0000
P1 P 0.0000 0.0000 0.5000
```

## x
The following is a DFT calculation (PBE) of a relaxed Ba2TeP crystal.

Properties
Magnetization in μB/atom: 0.00
Density in g cm⁻³: 5.53

CIF file:
```
data_Ba2TeP
_symmetry_space_group_name_H-M 'F -4 3 m'
_symmetry_Int_Tables_number 216
_symmetry_space_group_name_Hall 'F -4 2 3'
_cell_length_a 8.0442
_cell_length_b 8.0442
_cell_length_c 8.0442
_cell_angle_alpha 90.00
_cell_angle_beta 90.00
_cell_angle_gamma 90.00
loop_
_atom_site_label
_atom_site_type_symbol
_atom_site_fract_x
_atom_site_fract_y
_atom_site_fract_z
Ba1 Ba 0.0000 0.0000 0.0000
Ba2 Ba 0.2500 0.2500 0.2500
Te1 Te 0.2500 0.2500 0.7500
P1 P 0.0000 0.0000 0.5000
```

Which is the most stable structure? w is the most stable.

## w
The following is a DFT calculation (PBE) of a relaxed Ba2TeP crystal.

Properties
Magnetization in μB/atom: 0.24
Density in g cm⁻³: 4.71

CIF file:
```
data_Ba2TeP
_symmetry_space_group_name_H-M 'A m m 2'
_symmetry_Int_Tables_number 38
_symmetry_space_group_name_Hall 'A 2 -2'
_cell_length_a 5.2157
_cell_length_b 4.4678
_cell_length_c 13.1055
_cell_angle_alpha 90.00
_cell_angle_beta 90.00
_cell_angle_gamma 90.00
loop_
_atom_site_label
_atom_site_type_symbol
_atom_site_fract_x
_atom_site_fract_y
_atom_site_fract_z
Ba1 Ba 0.0000 0.0000 0.0000
Ba2 Ba 0.5000 0.0000 0.2523
Te1 Te 0.5000 0.0000 0.5237
P1 P 0.0000 0.0000 0.7595
```

## x
The following is a DFT calculation (PBE) of a relaxed Ba2TeP crystal.

Properties
Magnetization in μB/atom: 0.00
Density in g cm⁻³: 5.30

CIF file:
```
data_Ba2TeP
_symmetry_space_group_name_H-M 'P m m m'
_symmetry_Int_Tables_number 47
_symmetry_space_group_name_Hall '-P 2 2'
_cell_length_a 3.7411
_cell_length_b 4.2304
_cell_length_c 8.5838
_cell_angle_alpha 90.00
_cell_angle_beta 90.00
_cell_angle_gamma 90.00
loop_
_atom_site_label
_atom_site_type_symbol
_atom_site_fract_x
_atom_site_fract_y
_atom_site_fract_z
Ba1 Ba 0.0000 0.0000 0.2270
Te1 Te 0.5000 0.5000 0.5000
P1 P 0.5000 0.5000 0.0000
```

## y
The following is a DFT calculation (PBE) of a relaxed Ba2TeP crystal.

Properties
Magnetization in μB/atom: 0.25
Density in g cm⁻³: 3.37

CIF file:
```
data_Ba2TeP
_symmetry_space_group_name_H-M 'I -4 2 d'
_symmetry_Int_Tables_number 122
_symmetry_space_group_name_Hall 'I -4 2bw'
_cell_length_a 7.2737
_cell_length_b 7.2737
_cell_length_c 16.1540
_cell_angle_alpha 90.00
_cell_angle_beta 90.00
_cell_angle_gamma 90.00
loop_
_atom_site_label
_atom_site_type_symbol
_atom_site_fract_x
_atom_site_fract_y
_atom_site_fract_z
Ba1 Ba 0.2184 0.2500 0.1250
Te1 Te 0.0000 0.0000 0.5000
P1 P 0.0000 0.0000 0.0000
```

Which is the most stable structure? x is the most stable.

## w
The following is a DFT calculation (PBE) of a relaxed Ba2TeP crystal.

Properties
Magnetization in μB/atom: 0.23
Density in g cm⁻³: 4.42

CIF file:
```
data_Ba2TeP
_symmetry_space_group_name_H-M 'P 4/m m m'
_symmetry_Int_Tables_number 123
_symmetry_space_group_name_Hall '-P 4 2'
_cell_length_a 4.8650
_cell_length_b 4.8650
_cell_length_c 6.8713
_cell_angle_alpha 90.00
_cell_angle_beta 90.00
_cell_angle_gamma 90.00
loop_
_atom_site_label
_atom_site_type_symbol
_atom_site_fract_x
_atom_site_fract_y
_atom_site_fract_z
Ba1 Ba 0.0000 0.0000 0.0000
Ba2 Ba 0.5000 0.5000 0.5000
Te1 Te 0.0000 0.0000 0.5000
P1 P 0.5000 0.5000 0.0000
```

## x
The following is a DFT calculation (PBE) of a relaxed Ba2TeP crystal.

Properties
Magnetization in μB/atom: 0.21
Density in g cm⁻³: 5.16

CIF file:
```
data_Ba2TeP
_symmetry_space_group_name_H-M 'F m -3 m'
_symmetry_Int_Tables_number 225
_symmetry_space_group_name_Hall '-F 4 2 3'
_cell_length_a 8.2327
_cell_length_b 8.2327
_cell_length_c 8.2327
_cell_angle_alpha 90.00
_cell_angle_beta 90.00
_cell_angle_gamma 90.00
loop_
_atom_site_label
_atom_site_type_symbol
_atom_site_fract_x
_atom_site_fract_y
_atom_site_fract_z
Ba1 Ba 0.2500 0.2500 0.2500
Te1 Te 0.0000 0.0000 0.0000
P1 P 0.0000 0.0000 0.5000
```

## y
The following is a DFT calculation (PBE) of a relaxed Ba2TeP crystal.

Properties
Magnetization in μB/atom: 0.00
Density in g cm⁻³: 5.05

CIF file:
```
data_Ba2TeP
_symmetry_space_group_name_H-M 'I -4 m 2'
_symmetry_Int_Tables_number 119
_symmetry_space_group_name_Hall 'I -4 -2'
_cell_length_a 4.7744
_cell_length_b 4.7744
_cell_length_c 12.4937
_cell_angle_alpha 90.00
_cell_angle_beta 90.00
_cell_angle_gamma 90.00
loop_
_atom_site_label
_atom_site_type_symbol
_atom_site_fract_x
_atom_site_fract_y
_atom_site_fract_z
Ba1 Ba 0.0000 0.0000 0.0000
Ba2 Ba 0.0000 0.5000 0.2500
Te1 Te 0.0000 0.0000 0.5000
P1 P 0.0000 0.5000 0.7500
```

Which is the most stable structure? w is the most stable.

## w
The following is a DFT calculation (PBE) of a relaxed BaTi3P crystal.

Properties
Magnetization in μB/atom: 0.00
Density in g cm⁻³: 4.65

CIF file:
```
data_BaTi3P
_symmetry_space_group_name_H-M 'P m -3 m'
_symmetry_Int_Tables_number 221
_symmetry_space_group_name_Hall '-P 4 2 3'
_cell_length_a 4.8099
_cell_length_b 4.8099
_cell_length_c 4.8099
_cell_angle_alpha 90.00
_cell_angle_beta 90.00
_cell_angle_gamma 90.00
loop_
_atom_site_label
_atom_site_type_symbol
_atom_site_fract_x
_atom_site_fract_y
_atom_site_fract_z
Ba1 Ba 0.0000 0.0000 0.0000
Ti1 Ti 0.0000 0.5000 0.5000
P1 P 0.5000 0.5000 0.5000
```

## x
The following is a DFT calculation (PBE) of a relaxed BaTi3P crystal.

Properties
Magnetization in μB/atom: 0.30
Density in g cm⁻³: 4.28

CIF file:
```
data_BaTi3P
_symmetry_space_group_name_H-M 'P m -3 m'
_symmetry_Int_Tables_number 221
_symmetry_space_group_name_Hall '-P 4 2 3'
_cell_length_a 4.9453
_cell_length_b 4.9453
_cell_length_c 4.9453
_cell_angle_alpha 90.00
_cell_angle_beta 90.00
_cell_angle_gamma 90.00
loop_
_atom_site_label
_atom_site_type_symbol
_atom_site_fract_x
_atom_site_fract_y
_atom_site_fract_z
Ba1 Ba 0.0000 0.0000 0.0000
Ti1 Ti 0.0000 0.0000 0.5000
P1 P 0.5000 0.5000 0.5000
```

Which is the most stable structure? w is the most stable.

## w
The following is a DFT calculation (PBE) of a relaxed BaTiP3 crystal.

Properties
Magnetization in μB/atom: 0.06
Density in g cm⁻³: 2.90

CIF file:
```
data_BaTiP3
_symmetry_space_group_name_H-M 'P m -3 m'
_symmetry_Int_Tables_number 221
_symmetry_space_group_name_Hall '-P 4 2 3'
_cell_length_a 5.4196
_cell_length_b 5.4196
_cell_length_c 5.4196
_cell_angle_alpha 90.00
_cell_angle_beta 90.00
_cell_angle_gamma 90.00
loop_
_atom_site_label
_atom_site_type_symbol
_atom_site_fract_x
_atom_site_fract_y
_atom_site_fract_z
Ba1 Ba 0.0000 0.0000 0.0000
Ti1 Ti 0.5000 0.5000 0.5000
P1 P 0.0000 0.0000 0.5000
```

## x
The following is a DFT calculation (PBE) of a relaxed BaTiP3 crystal.

Properties
Magnetization in μB/atom: 0.00
Density in g cm⁻³: 4.05

CIF file:
```
data_BaTiP3
_symmetry_space_group_name_H-M 'P m -3 m'
_symmetry_Int_Tables_number 221
_symmetry_space_group_name_Hall '-P 4 2 3'
_cell_length_a 4.8482
_cell_length_b 4.8482
_cell_length_c 4.8482
_cell_angle_alpha 90.00
_cell_angle_beta 90.00
_cell_angle_gamma 90.00
loop_
_atom_site_label
_atom_site_type_symbol
_atom_site_fract_x
_atom_site_fract_y
_atom_site_fract_z
Ba1 Ba 0.0000 0.0000 0.0000
Ti1 Ti 0.5000 0.5000 0.5000
P1 P 0.0000 0.5000 0.5000
```

Which is the most stable structure? x is the most stable.